# 1
First-principles (PBE) data for an optimized crystal structure of InTePt2, as listed in Alexandria via LeMat-Bulk.

a = 3.458 Å, b = 3.458 Å, c = 6.495 Å
α = 90.00°, β = 90.00°, γ = 90.00°
Positions (direct):
1 In 0.000 0.000 0.000
2 Te 0.000 0.000 0.500
3 Pt 0.500 0.500 0.228
4 Pt 0.500 0.500 0.772

Output
Crystal system: tetragonal
Total DFT energy (no corrections): -4.599 eV/atom
ρ: 13.53 g cm⁻³
Offset from the most stable computed form: 179 meV per atom



# 2
First-principles (PBE) data for an optimized crystal structure of LaSc2Cu, as listed in Alexandria via LeMat-Bulk.

a = 5.126 Å, b = 5.126 Å, c = 3.511 Å
α = 90.00°, β = 90.00°, γ = 96.59°
Positions (direct):
1 La 0.000 0.000 0.000
2 Sc 0.000 0.500 0.500
3 Sc 0.500 0.000 0.500
4 Cu 0.500 0.500 0.000

Output
Crystal system: orthorhombic
Total DFT energy (no corrections): -5.221 eV/atom
Energy of formation: 200 meV/atom
ρ: 5.30 g cm⁻³
Offset from the most stable computed form: 278 meV per atom



# 3
First-principles (PBE) data for an optimized crystal structure of Pm2Nd3Hg, as listed in Alexandria via LeMat-Bulk.

a = 6.263 Å, b = 6.263 Å, c = 11.674 Å
α = 95.19°, β = 95.19°, γ = 120.18°
Positions (direct):
1 Pm 0.000 0.000 0.000
2 Pm 0.163 0.837 0.500
3 Pm 0.500 0.500 0.500
4 Pm 0.837 0.163 0.500
5 Nd 0.079 0.422 0.241
6 Nd 0.264 0.264 0.760
7 Nd 0.422 0.079 0.241
8 Nd 0.578 0.921 0.759
9 Nd 0.736 0.736 0.240
10 Nd 0.921 0.578 0.759
11 Hg 0.333 0.667 0.000
12 Hg 0.667 0.333 0.000

Output
Crystal system: monoclinic
Total DFT energy (no corrections): -4.083 eV/atom
Energy of formation: -65 meV/atom
ρ: 7.88 g cm⁻³